Below is crystalline La2PtIF at its relaxed geometry, with properties calculated at the PBE level.

Summary:
For the magnetic moment, the calculation gives 0.000 μB/f.u. The calculated total energy is -24.67 eV per cell.

Cell lengths 5.025, 5.025, 5.008 Å; angles 90.00, 90.00, 90.00 degrees
Positions (direct):
La: 0.000 0.500 0.000
La: 0.500 0.000 0.000
Pt: 0.000 0.000 0.500
I: 0.500 0.500 0.500
F: 0.000 0.000 0.000

Below is crystalline Nd4Ga16Rh3 at its relaxed geometry, with properties calculated at the PBE level.

Summary:
For the magnetic moment, the calculation gives 0.000 μB/f.u. The value obtained for the formation energy is -0.643 eV per atom.

Cell lengths 6.223, 6.223, 11.391 Å; angles 90.00, 90.00, 90.00 degrees
Positions (direct):
Nd: 0.000 0.500 0.194
Nd: 0.000 0.500 0.806
Nd: 0.500 0.000 0.194
Nd: 0.500 0.000 0.806
Ga: 0.000 0.000 0.196
Ga: 0.000 0.000 0.804
Ga: 0.213 0.213 0.000
Ga: 0.213 0.787 0.000
Ga: 0.251 0.251 0.383
Ga: 0.251 0.251 0.617
Ga: 0.251 0.749 0.383
Ga: 0.251 0.749 0.617
Ga: 0.500 0.500 0.224
Ga: 0.500 0.500 0.776
Ga: 0.749 0.251 0.383
Ga: 0.749 0.251 0.617
Ga: 0.749 0.749 0.383
Ga: 0.749 0.749 0.617
Ga: 0.787 0.213 0.000
Ga: 0.787 0.787 0.000
Rh: 0.000 0.500 0.500
Rh: 0.500 0.000 0.500
Rh: 0.500 0.500 0.000

Below is crystalline Ho8CuTe4P3 at its relaxed geometry, with properties calculated at the PBE level.

Summary:
For the magnetic moment, the calculation gives 0.000 μB/f.u. The calculated total energy is -90.48 eV per cell.

Cell lengths 8.444, 8.444, 8.444 Å; angles 58.45, 58.45, 58.45 degrees
Positions (direct):
Ho: 0.236 0.236 0.236
Ho: 0.237 0.739 0.739
Ho: 0.261 0.261 0.763
Ho: 0.261 0.763 0.261
Ho: 0.739 0.237 0.739
Ho: 0.739 0.739 0.237
Ho: 0.763 0.261 0.261
Ho: 0.764 0.764 0.764
Cu: 0.500 0.500 0.500
Te: 0.000 0.000 0.000
Te: 0.000 0.500 0.500
Te: 0.500 0.000 0.500
Te: 0.500 0.500 0.000
P: 0.000 0.000 0.500
P: 0.000 0.500 0.000
P: 0.500 0.000 0.000

Below is crystalline Sc2NbGaH at its relaxed geometry, with properties calculated at the PBE level.

Summary:
For the magnetic moment, the calculation gives 0.000 μB/f.u. The calculated total energy is -30.89 eV per cell.

Cell lengths 4.341, 4.341, 4.160 Å; angles 90.00, 90.00, 90.00 degrees
Positions (direct):
Sc: 0.000 0.500 0.000
Sc: 0.500 0.000 0.000
Nb: 0.000 0.000 0.500
Ga: 0.500 0.500 0.500
H: 0.000 0.000 0.000

Below is crystalline ZnGaOs at its relaxed geometry, with properties calculated at the PBE level.

Summary:
For the magnetic moment, the calculation gives 0.000 μB/f.u. The value obtained for the formation energy is 0.117 eV per atom.

Cell lengths 4.811, 4.811, 4.811 Å; angles 141.31, 141.31, 55.87 degrees
Positions (direct):
Zn: 0.000 0.000 0.000
Ga: 0.323 0.323 0.000
Os: 0.668 0.668 0.000

Below is crystalline CuTe2Br at its relaxed geometry, with properties calculated at the PBE level.

Summary:
For the magnetic moment, the calculation gives 0.000 μB/f.u. The calculated total energy is -12.27 eV per cell.

Cell lengths 4.206, 4.206, 7.533 Å; angles 100.75, 100.75, 57.69 degrees
Positions (direct):
Cu: 0.000 0.000 0.000
Te: 0.337 0.337 0.823
Te: 0.663 0.663 0.177
Br: 0.500 0.500 0.500